The following is a GGA-PBE calculation of Al3GaS after structural relaxation, from Alexandria via LeMat-Bulk.

a = 4.6999 Å, b = 4.6999 Å, c = 4.6999 Å
α = 90.00°, β = 90.00°, γ = 90.00°
Space group Pm-3m (No. 221)
One atom of each set of equivalent atoms:
Al: 0.0000 0.0000 0.5000 [3 per cell]
Ga: 0.5000 0.5000 0.5000 [1 per cell]
S: 0.0000 0.0000 0.0000 [1 per cell]

Results
**Polymorph energy (0 for the lowest one)**: 0 meV per atom
**Density of states at the Fermi level**: 0.31 states/eV/atom
**Raw total energy**: -16.32 eV/cell
**Size of the total moment**: 0.00 μB per formula unit
**E_form (uncorrected)**: 0.41 eV/atom